Density functional theory data (PBE) for CsHfTe4 after structural relaxation.

Properties
For the volume, the calculation gives 41.96 Å³ per atom. The calculation puts the magnetic moment at 0.00 μB/f.u. The formation energy from raw total energies comes out at -0.648 eV per atom.

Lattice parameters (Å, degrees): 16.505 9.470 6.445 90.00 91.39 90.00
Space group C2/m (No. 12)
Asymmetric unit:
Cs (0.175, 0.000, 0.214) x4
Hf (0.014, 0.500, 0.264) x4
Te (0.000, 0.251, 0.000) x4
Te (0.109, 0.310, 0.596) x8
Te (0.188, 0.500, 0.286) x4

***

Density functional theory data (PBE) for CsHfTe2 after structural relaxation.

Properties
For the volume, the calculation gives 44.79 Å³ per atom. The calculation puts the magnetic moment at 1.00 μB/f.u. The formation energy from raw total energies comes out at -0.650 eV per atom.

Lattice parameters (Å, degrees): 8.699 8.699 9.471 90.00 90.00 90.00
Space group I-42d (No. 122)
Asymmetric unit:
Cs (0.000, 0.000, 0.000) x4
Hf (0.000, 0.000, 0.500) x4
Te (0.147, 0.250, 0.625) x8